Run A
This record from Alexandria describes LaPu2Co after structural relaxation. The functional is PBE.

Size of the total moment in μB per formula unit: 10.87
Volume in A^3/atom: 26.58
DOS at the Fermi energy in states/eV/f.u.: 16.558
Space-group type: R-3m (166)

a b c (Å): 3.727 3.727 26.513
angles (deg): 90.00 90.00 120.00
Fractional positions:
La 0.000 0.000 0.000
La 0.333 0.667 0.667
La 0.667 0.333 0.333
Pu 0.000 0.000 0.224
Pu 0.000 0.000 0.776
Pu 0.333 0.667 0.442
Pu 0.333 0.667 0.891
Pu 0.667 0.333 0.109
Pu 0.667 0.333 0.558
Co 0.000 0.000 0.500
Co 0.333 0.667 0.167
Co 0.667 0.333 0.833



Run B
This record from Alexandria describes LaPu2Co after structural relaxation. The functional is PBE.

Size of the total moment in μB per formula unit: 10.34
Volume in A^3/atom: 23.82
DOS at the Fermi energy in states/eV/f.u.: 13.563
Space-group type: P4/mmm (123)

a b c (Å): 3.472 3.472 7.903
angles (deg): 90.00 90.00 90.00
Fractional positions:
La 0.000 0.000 0.000
Pu 0.500 0.500 0.311
Pu 0.500 0.500 0.689
Co 0.000 0.000 0.500



Stability order, top to bottom: run B, run A



Run A
This record from Alexandria describes RbLaCo after structural relaxation. The functional is PBE.

Size of the total moment in μB per formula unit: 0.00
Volume in A^3/atom: 39.48
DOS at the Fermi energy in states/eV/f.u.: 3.688
Space-group type: P1 (1)

a b c (Å): 4.133 4.133 16.181
angles (deg): 90.10 97.24 119.95
Fractional positions:
Rb 0.000 0.000 0.000
Rb 0.478 0.248 0.722
La 0.497 0.750 0.249
La 0.652 0.829 0.473
Co 0.241 0.123 0.361
Co 0.908 0.456 0.361



Run B
This record from Alexandria describes RbLaCo after structural relaxation. The functional is PBE.

Size of the total moment in μB per formula unit: 0.22
Volume in A^3/atom: 42.86
DOS at the Fermi energy in states/eV/f.u.: 3.011
Space-group type: P-1 (2)

a b c (Å): 4.167 5.655 11.686
angles (deg): 87.26 83.27 70.14
Fractional positions:
Rb 0.183 0.243 0.330
Rb 0.817 0.757 0.670
La 0.414 0.281 0.919
La 0.586 0.719 0.081
Co 0.161 0.841 0.941
Co 0.839 0.159 0.059



Run C
This record from Alexandria describes RbLaCo after structural relaxation. The functional is PBE.

Size of the total moment in μB per formula unit: 0.00
Volume in A^3/atom: 42.14
DOS at the Fermi energy in states/eV/f.u.: 2.601
Space-group type: P-1 (2)

a b c (Å): 3.942 7.810 8.381
angles (deg): 96.34 90.16 99.54
Fractional positions:
Rb 0.222 0.228 0.359
Rb 0.778 0.772 0.641
La 0.300 0.736 0.101
La 0.700 0.264 0.899
Co 0.261 0.067 0.955
Co 0.739 0.933 0.045



Run D
This record from Alexandria describes RbLaCo after structural relaxation. The functional is PBE.

Size of the total moment in μB per formula unit: 0.00
Volume in A^3/atom: 36.09
DOS at the Fermi energy in states/eV/f.u.: 1.702
Space-group type: Amm2 (38)

a b c (Å): 7.244 5.531 5.404
angles (deg): 90.00 90.00 90.00
Fractional positions:
Rb 0.000 0.000 0.000
Rb 0.000 0.500 0.500
La 0.500 0.000 0.554
La 0.500 0.500 0.054
Co 0.500 0.000 0.118
Co 0.500 0.500 0.618



Stability order, top to bottom: run A, run B, run C, run D



Run A
This record from Alexandria describes RbLaCo after structural relaxation. The functional is PBE.

Size of the total moment in μB per formula unit: 0.00
Volume in A^3/atom: 43.96
DOS at the Fermi energy in states/eV/f.u.: 2.221
Space-group type: P-1 (2)

a b c (Å): 4.689 5.622 10.445
angles (deg): 83.33 81.36 76.49
Fractional positions:
Rb 0.204 0.223 0.176
Rb 0.796 0.777 0.824
La 0.316 0.282 0.573
La 0.684 0.718 0.427
Co 0.189 0.827 0.480
Co 0.811 0.173 0.520



Run B
This record from Alexandria describes RbLaCo after structural relaxation. The functional is PBE.

Size of the total moment in μB per formula unit: 0.00
Volume in A^3/atom: 42.69
DOS at the Fermi energy in states/eV/f.u.: 2.468
Space-group type: P-1 (2)

a b c (Å): 4.150 4.252 14.602
angles (deg): 89.90 83.86 89.99
Fractional positions:
Rb 0.192 0.253 0.145
Rb 0.808 0.747 0.855
La 0.416 0.249 0.602
La 0.584 0.751 0.398
Co 0.059 0.250 0.478
Co 0.941 0.750 0.522



Stability order, top to bottom: run B, run A



Run A
This record from Alexandria describes RbLaCo3 after structural relaxation. The functional is PBE.

Size of the total moment in μB per formula unit: 1.09
Volume in A^3/atom: 23.43
DOS at the Fermi energy in states/eV/f.u.: 1.181
Space-group type: Pm-3m (221)

a b c (Å): 4.893 4.893 4.893
angles (deg): 90.00 90.00 90.00
Fractional positions:
Rb 0.000 0.000 0.000
La 0.500 0.500 0.500
Co 0.000 0.500 0.500
Co 0.500 0.000 0.500
Co 0.500 0.500 0.000



Run B
This record from Alexandria describes RbLaCo3 after structural relaxation. The functional is PBE.

Size of the total moment in μB per formula unit: 1.28
Volume in A^3/atom: 21.02
DOS at the Fermi energy in states/eV/f.u.: 4.489
Space-group type: Pm-3m (221)

a b c (Å): 4.719 4.719 4.719
angles (deg): 90.00 90.00 90.00
Fractional positions:
Rb 0.000 0.000 0.000
La 0.500 0.500 0.500
Co 0.000 0.000 0.500
Co 0.000 0.500 0.000
Co 0.500 0.000 0.000



Stability order, top to bottom: run A, run B



Run A
This record from Alexandria describes La2CoRe after structural relaxation. The functional is PBE.

Size of the total moment in μB per formula unit: 1.73
Volume in A^3/atom: 22.58
DOS at the Fermi energy in states/eV/f.u.: 5.776
Space-group type: Fm-3m (225)

a b c (Å): 7.122 7.122 7.122
angles (deg): 90.00 90.00 90.00
Fractional positions:
La 0.250 0.250 0.250
La 0.250 0.250 0.750
La 0.250 0.750 0.250
La 0.250 0.750 0.750
La 0.750 0.250 0.250
La 0.750 0.250 0.750
La 0.750 0.750 0.250
La 0.750 0.750 0.750
Co 0.000 0.000 0.000
Co 0.000 0.500 0.500
Co 0.500 0.000 0.500
Co 0.500 0.500 0.000
Re 0.000 0.000 0.500
Re 0.000 0.500 0.000
Re 0.500 0.000 0.000
Re 0.500 0.500 0.500



Run B
This record from Alexandria describes La2CoRe after structural relaxation. The functional is PBE.

Size of the total moment in μB per formula unit: 1.91
Volume in A^3/atom: 20.67
DOS at the Fermi energy in states/eV/f.u.: 4.627
Space-group type: F-43m (216)

a b c (Å): 6.916 6.916 6.916
angles (deg): 90.00 90.00 90.00
Fractional positions:
La 0.000 0.000 0.000
La 0.000 0.500 0.500
La 0.250 0.250 0.250
La 0.250 0.750 0.750
La 0.500 0.000 0.500
La 0.500 0.500 0.000
La 0.750 0.250 0.750
La 0.750 0.750 0.250
Co 0.000 0.000 0.500
Co 0.000 0.500 0.000
Co 0.500 0.000 0.000
Co 0.500 0.500 0.500
Re 0.250 0.250 0.750
Re 0.250 0.750 0.250
Re 0.750 0.250 0.250
Re 0.750 0.750 0.750



Run C
This record from Alexandria describes La2CoRe after structural relaxation. The functional is PBE.

Size of the total moment in μB per formula unit: 1.39
Volume in A^3/atom: 21.68
DOS at the Fermi energy in states/eV/f.u.: 5.663
Space-group type: I-4m2 (119)

a b c (Å): 4.188 4.188 9.888
angles (deg): 90.00 90.00 90.00
Fractional positions:
La 0.000 0.000 0.000
La 0.000 0.500 0.250
La 0.500 0.000 0.750
La 0.500 0.500 0.500
Co 0.000 0.000 0.500
Co 0.500 0.500 0.000
Re 0.000 0.500 0.750
Re 0.500 0.000 0.250



Stability order, top to bottom: run A, run B, run C



Run A
This record from Alexandria describes La2CoRe after structural relaxation. The functional is PBE.

Size of the total moment in μB per formula unit: 1.58
Volume in A^3/atom: 22.63
DOS at the Fermi energy in states/eV/f.u.: 6.129
Space-group type: Cmmm (65)

a b c (Å): 5.000 5.012 7.224
angles (deg): 90.00 90.00 90.00
Fractional positions:
La 0.000 0.000 0.250
La 0.000 0.000 0.750
La 0.500 0.500 0.250
La 0.500 0.500 0.750
Co 0.000 0.500 0.000
Co 0.500 0.000 0.000
Re 0.000 0.500 0.500
Re 0.500 0.000 0.500



Run B
This record from Alexandria describes La2CoRe after structural relaxation. The functional is PBE.

Size of the total moment in μB per formula unit: 0.36
Volume in A^3/atom: 22.72
DOS at the Fermi energy in states/eV/f.u.: 3.758
Space-group type: R-3m (166)

a b c (Å): 3.530 3.530 25.277
angles (deg): 90.00 90.00 120.00
Fractional positions:
La 0.000 0.000 0.246
La 0.000 0.000 0.754
La 0.333 0.667 0.421
La 0.333 0.667 0.912
La 0.667 0.333 0.088
La 0.667 0.333 0.579
Co 0.000 0.000 0.500
Co 0.333 0.667 0.167
Co 0.667 0.333 0.833
Re 0.000 0.000 0.000
Re 0.333 0.667 0.667
Re 0.667 0.333 0.333



Run C
This record from Alexandria describes La2CoRe after structural relaxation. The functional is PBE.

Size of the total moment in μB per formula unit: 0.00
Volume in A^3/atom: 24.76
DOS at the Fermi energy in states/eV/f.u.: 3.082
Space-group type: Amm2 (38)

a b c (Å): 4.227 4.660 10.057
angles (deg): 90.00 90.00 90.00
Fractional positions:
La 0.000 0.000 0.000
La 0.000 0.500 0.500
La 0.500 0.000 0.300
La 0.500 0.500 0.800
Co 0.500 0.000 0.598
Co 0.500 0.500 0.098
Re 0.000 0.000 0.691
Re 0.000 0.500 0.191



Stability order, top to bottom: run C, run A, run B